DFT (GGA-PBE) results for a geometry-optimized LaMgCdIn2 structure.

Properties
The calculation puts the formation energy at -0.3490 eV/atom.

Unit cell a=4.6088 b=4.6088 c=12.5173 alpha=90.00 beta=90.00 gamma=90.00
Closest atoms and distances in Å follow each position.
Space group I-4m2 (No. 119)
Asymmetric unit:
La (0.0000, 0.0000, 0.0000) (multiplicity 2)  8 In 3.54, 4 Cd 3.89, 4 Mg 3.89
Mg (0.0000, 0.5000, 0.2500) (multiplicity 2)  4 In 2.89
Cd (0.0000, 0.5000, 0.7500) (multiplicity 2)  4 In 2.89
In (0.0000, 0.0000, 0.3895) (multiplicity 4)  1 In 2.77, 2 Cd 2.89, 2 Mg 2.89